[1]
{"formula": "Nd6Ga3Pt", "functional": "PBE", "state": "relaxed", "cell": [[8.969, 0.000, 0.000], [0.000, 11.968, 0.000], [0.000, 0.000, 5.185]], "species": ["Nd", "Nd", "Nd", "Nd", "Nd", "Nd", "Nd", "Nd", "Nd", "Nd", "Nd", "Nd", "Ga", "Ga", "Ga", "Ga", "Ga", "Ga", "Pt", "Pt"], "fractional_positions": [[0.003, 0.249, 0.000], [0.163, 0.086, 0.500], [0.174, 0.419, 0.500], [0.326, 0.919, 0.000], [0.337, 0.586, 0.000], [0.497, 0.749, 0.500], [0.503, 0.251, 0.500], [0.663, 0.414, 0.000], [0.674, 0.081, 0.000], [0.826, 0.581, 0.500], [0.837, 0.914, 0.500], [0.997, 0.751, 0.000], [0.000, 0.500, 0.000], [0.162, 0.726, 0.500], [0.338, 0.226, 0.000], [0.500, 0.000, 0.500], [0.662, 0.774, 0.000], [0.838, 0.274, 0.500], [0.000, 0.000, 0.000], [0.500, 0.500, 0.500]], "dos_ef_per_ev_cell": 18.352, "m_tot_mub_per_cell": 0.00, "dft_energy_ev_per_atom": -4.8800, "formation_enthalpy_0k_ev_per_fu": -5.1}

[2]
{"formula": "BaCa3Cd", "functional": "PBE", "state": "relaxed", "cell": [[5.915, 0.000, 0.000], [0.000, 5.915, 0.000], [0.000, 0.000, 5.915]], "species": ["Ba", "Ca", "Ca", "Ca", "Cd"], "fractional_positions": [[0.000, 0.000, 0.000], [0.000, 0.000, 0.500], [0.000, 0.500, 0.000], [0.500, 0.000, 0.000], [0.500, 0.500, 0.500]], "dos_ef_per_ev_cell": 6.549, "m_tot_mub_per_cell": 0.00, "dft_energy_ev_per_atom": -0.8128, "formation_enthalpy_0k_ev_per_fu": 4.8, "relative_energy_mev_per_atom": 991.2}

[3]
{"formula": "Pm4Si5Au2", "functional": "PBE", "state": "relaxed", "cell": [[7.126, 0.000, 0.000], [0.000, 4.237, 0.000], [-0.373, 0.000, 8.229]], "species": ["Pm", "Pm", "Pm", "Pm", "Si", "Si", "Si", "Si", "Si", "Au", "Au"], "fractional_positions": [[0.235, 0.000, 0.361], [0.257, 0.000, 0.876], [0.743, 0.000, 0.124], [0.765, 0.000, 0.639], [0.000, 0.500, 0.000], [0.064, 0.500, 0.642], [0.391, 0.500, 0.110], [0.609, 0.500, 0.890], [0.936, 0.500, 0.358], [0.407, 0.500, 0.637], [0.593, 0.500, 0.363]], "dos_ef_per_ev_cell": 4.325, "raw_formation_energy_mev_per_atom": -641, "m_tot_mub_per_cell": 0.00, "dft_energy_ev_per_atom": -5.4293}

[4]
{"formula": "LiCuGePb", "functional": "PBE", "state": "relaxed", "cell": [[0.000, 3.333, 3.333], [3.333, 0.000, 3.333], [3.333, 3.333, 0.000]], "species": ["Li", "Cu", "Ge", "Pb"], "fractional_positions": [[0.000, 0.000, 0.000], [0.500, 0.500, 0.500], [0.750, 0.750, 0.750], [0.250, 0.250, 0.250]], "dos_ef_per_ev_cell": 2.524, "m_tot_mub_per_cell": 0.00, "dft_energy_ev_per_atom": -3.5406, "formation_enthalpy_0k_ev_per_fu": 0.2}

[5]
{"formula": "La7Pt4Au", "functional": "PBE", "state": "relaxed", "cell": [[7.079, -2.062, 0.000], [7.079, 2.062, 0.000], [-2.894, 0.000, 12.435]], "species": ["La", "La", "La", "La", "La", "La", "La", "Pt", "Pt", "Pt", "Pt", "Au"], "fractional_positions": [[0.000, 0.000, 0.000], [0.219, 0.219, 0.865], [0.302, 0.302, 0.437], [0.505, 0.505, 0.297], [0.608, 0.608, 0.600], [0.764, 0.764, 0.143], [0.917, 0.917, 0.699], [0.262, 0.262, 0.651], [0.379, 0.379, 0.071], [0.564, 0.564, 0.830], [0.957, 0.957, 0.469], [0.140, 0.140, 0.229]], "dos_ef_per_ev_cell": 9.283, "m_tot_mub_per_cell": 0.00, "dft_energy_ev_per_atom": -6.0899, "formation_enthalpy_0k_ev_per_fu": -11.1}

[6]
{"formula": "MgRh3C", "functional": "PBE", "state": "relaxed", "cell": [[7.032, -1.428, 0.000], [7.032, 1.428, 0.000], [-0.981, 0.000, 7.099]], "species": ["Mg", "Mg", "Rh", "Rh", "Rh", "Rh", "Rh", "Rh", "C", "C"], "fractional_positions": [[0.103, 0.103, 0.070], [0.897, 0.897, 0.930], [0.032, 0.032, 0.699], [0.165, 0.165, 0.443], [0.293, 0.293, 0.158], [0.707, 0.707, 0.842], [0.835, 0.835, 0.557], [0.968, 0.968, 0.301], [0.383, 0.383, 0.392], [0.617, 0.617, 0.608]], "dos_ef_per_ev_cell": 6.475, "m_tot_mub_per_cell": 0.00, "dft_energy_ev_per_atom": -6.4651, "formation_enthalpy_0k_ev_per_fu": 0.5}

[7]
{"formula": "MgFe6Ge12", "functional": "PBE", "state": "relaxed", "cell": [[-4.231, 4.231, 4.231], [4.231, -4.231, 4.231], [4.231, 4.231, -4.231]], "species": ["Mg", "Fe", "Fe", "Fe", "Fe", "Fe", "Fe", "Ge", "Ge", "Ge", "Ge", "Ge", "Ge", "Ge", "Ge", "Ge", "Ge", "Ge", "Ge"], "fractional_positions": [[0.000, 0.000, 0.000], [0.143, 0.643, 0.500], [0.357, 0.500, 0.857], [0.500, 0.143, 0.643], [0.500, 0.857, 0.357], [0.643, 0.500, 0.143], [0.857, 0.357, 0.500], [0.100, 0.818, 0.282], [0.182, 0.282, 0.465], [0.182, 0.718, 0.900], [0.282, 0.100, 0.818], [0.282, 0.465, 0.182], [0.465, 0.182, 0.282], [0.535, 0.818, 0.718], [0.718, 0.535, 0.818], [0.718, 0.900, 0.182], [0.818, 0.282, 0.100], [0.818, 0.718, 0.535], [0.900, 0.182, 0.718]], "dos_ef_per_ev_cell": 14.028, "m_tot_mub_per_cell": 11.24, "dft_energy_ev_per_atom": -5.4244, "formation_enthalpy_0k_ev_per_fu": 4.7}

[8]
{"formula": "LiDy2NpSe4", "functional": "PBE", "state": "relaxed", "cell": [[7.049, 0.000, 0.000], [0.000, 4.062, 0.000], [-2.365, 0.000, 6.644]], "species": ["Li", "Dy", "Dy", "Np", "Se", "Se", "Se", "Se"], "fractional_positions": [[0.000, 0.000, 0.000], [0.500, 0.000, 0.500], [0.500, 0.500, 0.000], [0.000, 0.500, 0.500], [0.247, 0.500, 0.242], [0.248, 0.000, 0.756], [0.752, 0.000, 0.244], [0.753, 0.500, 0.758]], "dos_ef_per_ev_cell": 13.065, "raw_formation_energy_mev_per_atom": -1537, "m_tot_mub_per_cell": 4.56, "dft_energy_ev_per_atom": -6.2863}